! Ba5Ca2 | Alexandria via LeMat-Bulk | PBE | optimized geometry; values from VASP
&SYSTEM
  ibrav = 0, nat = 7, ntyp = 2
/
ATOMIC_SPECIES
Ba 137.33 Ba.upf
Ca 40.08 Ca.upf
CELL_PARAMETERS angstrom
4.804 0.000 -0.668
-0.093 4.803 -0.668
-0.046 -0.047 17.270
ATOMIC_POSITIONS angstrom
Ba 0.718 0.732 5.163
Ba 2.714 2.767 1.912
Ba 0.000 0.000 0.000
Ba 1.951 1.989 14.022
Ba 3.946 4.024 10.770
Ca 1.285 1.310 9.234
Ca 3.380 3.446 6.699
! Energy above the lowest structure with this stoichiometry: 0 meV/atom
! Space-group type: I4/mmm (139)
! V: 398.11 Å³/cell
! Raw total energy: -13.5 eV/cell
! Formation energy: 0.01 eV/atom